Computed, not measured: LaVAsH2 after structural relaxation at the PBE level of DFT.

Properties
Raw total energy in eV/atom: -4.7396

Cell lengths 4.059, 6.416, 4.059 Å; angles 90.00, 90.00, 90.00 degrees
Last column: magnetic moment on the atom in μB.
Positions (direct):
H1 0.500 0.000 0.000  0.01
H2 0.000 0.000 0.500  0.00
As1 0.500 0.500 0.500  0.21
V1 0.000 0.500 0.000  -2.64
La1 0.000 0.000 0.000  -0.12